1.
Below is an optimized crystal structure of Ta4BeAl, with properties calculated at the PBE-GGA level.

Calculated values
- Electronic total energy: -9.356 eV/atom
- Energy of formation from the pure elements: -209 meV per atom
- DOS at the Fermi energy: 6.1 states/eV/cell
- Symmetry: P4/mcc

Unit cell a=6.1852 b=6.1852 c=5.0609 alpha=90.00 beta=90.00 gamma=90.00
Closest atoms and distances in Å follow each position.
Element x y z (fractional)
Ta  0.1396  0.3234  0.0000  2 Be 2.52, 1 Ta 2.78, 2 Al 2.79
Ta  0.1396  0.6766  0.5000  2 Be 2.52, 1 Ta 2.78, 2 Al 2.79
Ta  0.3234  0.1396  0.5000  2 Be 2.52, 1 Ta 2.78, 2 Al 2.79
Ta  0.3234  0.8604  0.0000  2 Be 2.52, 1 Ta 2.78, 2 Al 2.79
Ta  0.6766  0.1396  0.0000  2 Be 2.52, 1 Ta 2.78, 2 Al 2.79
Ta  0.6766  0.8604  0.5000  2 Be 2.52, 1 Ta 2.78, 2 Al 2.79
Ta  0.8604  0.3234  0.5000  2 Be 2.52, 1 Ta 2.78, 2 Al 2.79
Ta  0.8604  0.6766  0.0000  2 Be 2.52, 1 Ta 2.78, 2 Al 2.79
Be  0.0000  0.0000  0.2500  8 Ta 2.52, 2 Be 2.53
Be  0.0000  0.0000  0.7500  8 Ta 2.52, 2 Be 2.53
Al  0.5000  0.5000  0.2500  2 Al 2.53, 8 Ta 2.79
Al  0.5000  0.5000  0.7500  2 Al 2.53, 8 Ta 2.79

***

2.
Below is an optimized crystal structure of TaBeAl4, with properties calculated at the PBE-GGA level.

Calculated values
- Electronic total energy: -4.875 eV/atom
- Energy of formation from the pure elements: 216 meV per atom
- DOS at the Fermi energy: 6.1 states/eV/cell
- Symmetry: F-43m

Unit cell a=5.1044 b=5.1044 c=5.1044 alpha=60.00 beta=60.00 gamma=60.00
Closest atoms and distances in Å follow each position.
Element x y z (fractional)
Ta  0.0000  0.0000  0.0000  12 Al 2.99, 4 Be 3.13
Be  0.2500  0.2500  0.2500  12 Al 2.99, 4 Ta 3.13
Al  0.1252  0.6249  0.6249  6 Al 2.55
Al  0.6249  0.1252  0.6249  6 Al 2.55
Al  0.6249  0.6249  0.1252  6 Al 2.55
Al  0.6249  0.6249  0.6249  6 Al 2.55

***

3.
Below is an optimized crystal structure of TaBeAlTe2, with properties calculated at the PBE-GGA level.

Calculated values
- Formation energy without anion corrections: 0.598 eV/atom
- Electronic total energy: -4.523 eV/atom
- DOS at the Fermi energy: 2.1 states/eV/cell
- Symmetry: P4/mmm

Unit cell a=5.3926 b=5.3926 c=4.6914 alpha=90.00 beta=90.00 gamma=90.00
Closest atoms and distances in Å follow each position.
Element x y z (fractional)
Ta  0.0000  0.0000  0.0000  2 Be 2.35
Be  0.0000  0.0000  0.5000  2 Ta 2.35
Al  0.5000  0.5000  0.5000  8 Te 3.57, 4 Be 3.81
Te  0.0000  0.5000  0.0000  2 Ta 2.70
Te  0.5000  0.0000  0.0000  2 Ta 2.70

***

4.
Below is an optimized crystal structure of Tb2BeAl, with properties calculated at the PBE-GGA level.

Calculated values
- Electronic total energy: -4.302 eV/atom
- Energy of formation from the pure elements: -120 meV per atom
- DOS at the Fermi energy: 15.3 states/eV/cell
- Symmetry: Fm-3m

Unit cell a=7.0819 b=7.0819 c=7.0819 alpha=90.00 beta=90.00 gamma=90.00
Closest atoms and distances in Å follow each position.
Element x y z (fractional)
Tb  0.2500  0.2500  0.2500  4 Be 3.07, 4 Al 3.07
Tb  0.2500  0.2500  0.7500  4 Be 3.07, 4 Al 3.07
Tb  0.2500  0.7500  0.2500  4 Be 3.07, 4 Al 3.07
Tb  0.2500  0.7500  0.7500  4 Al 3.07, 4 Be 3.07
Tb  0.7500  0.2500  0.2500  4 Be 3.07, 4 Al 3.07
Tb  0.7500  0.2500  0.7500  4 Al 3.07, 4 Be 3.07
Tb  0.7500  0.7500  0.2500  4 Al 3.07, 4 Be 3.07
Tb  0.7500  0.7500  0.7500  4 Be 3.07, 4 Al 3.07
Be  0.0000  0.0000  0.0000  8 Tb 3.07
Be  0.0000  0.5000  0.5000  8 Tb 3.07
Be  0.5000  0.0000  0.5000  8 Tb 3.07
Be  0.5000  0.5000  0.0000  8 Tb 3.07
Al  0.0000  0.0000  0.5000  8 Tb 3.07
Al  0.0000  0.5000  0.0000  8 Tb 3.07
Al  0.5000  0.0000  0.0000  8 Tb 3.07
Al  0.5000  0.5000  0.5000  8 Tb 3.07

***

Question: electronic total energy of number 4 (Tb2BeAl)?
Answer: -4.302 eV/atom